# NbNiOsW2

A relaxed structure of NbNiOsW2 (PBE-GGA, the Alexandria database).

Calculated values
Spin magnetization (μB per formula unit): 1.65
Formation energy (meV/atom): 2387

a b c (Å): 4.6951 4.6951 4.3908
angles (deg): 90.00 90.00 90.00
Closest atoms and distances in Å follow each position.
Fractional positions:
Nb (0.0000, 0.0000, 0.0000)  2 Ni 2.20, 4 W 2.35
Ni (0.0000, 0.0000, 0.5000)  2 Nb 2.20
Os (0.5000, 0.5000, 0.5000)  8 W 3.21, 4 Ni 3.32
W (0.0000, 0.5000, 0.0000)  2 Nb 2.35
W (0.5000, 0.0000, 0.0000)  2 Nb 2.35